[1]
NaTbPrHg | Alexandria via LeMat-Bulk | GGA-PBE | optimized geometry; energy of formation = -0.064 eV/atom; Fermi-level density of states = 4.937 states/eV per cell; space-group type = F-43m; DFT total energy = -2.822 eV per atom
1.0
-1.5663 4.8804 -1.8761
-4.1622 0.3663 -3.5119
-4.7513 2.1476 1.6137
Pr Na Tb Hg
1 1 1 1
Cartesian
-2.6199 1.8486 -0.9436 Pr
0.0000 0.0000 0.0000 Na
-7.8598 5.5458 -2.8307 Tb
-5.2399 3.6972 -1.8871 Hg

[2]
Ho3NpAs4 | Alexandria via LeMat-Bulk | GGA-PBE | optimized geometry; energy of formation = -1.309 eV/atom; Fermi-level density of states = 24.068 states/eV per cell; space-group type = P2/c; DFT total energy = -6.968 eV per atom
1.0
-0.3436 -1.9119 6.8251
-0.4641 -5.7750 -4.1059
8.1602 -0.7905 0.1894
Np As Ho
2 8 6
Cartesian
6.8785 -2.1252 5.2845 Np
0.9380 -0.5772 1.7300 Np
4.6493 -3.8449 5.9066 As
6.8625 -3.0824 2.5653 As
2.7650 -2.6898 2.4463 As
0.8951 -1.5317 -0.9898 As
6.4573 -6.9457 3.8983 As
4.5874 -5.7876 0.4623 As
0.4899 -5.3951 0.3433 As
2.7032 -4.6325 -2.9980 As
2.8101 -1.7311 5.1900 Ho
5.0065 -0.9713 1.8245 Ho
4.5985 -4.8144 3.1840 Ho
0.5453 -4.4217 3.0899 Ho
2.7539 -3.6631 -0.2754 Ho
6.8071 -4.0557 -0.1813 Ho

[3]
LiBiPb | Alexandria via LeMat-Bulk | GGA-PBE | optimized geometry; energy of formation = -0.145 eV/atom; Fermi-level density of states = 1.681 states/eV per cell; space-group type = I4mm; DFT total energy = -3.313 eV per atom; energy above the most stable polymorph in this dataset = 0.054 eV/atom
1.0
-0.7392 -0.8464 4.0377
2.0507 -3.6347 -0.3865
3.4358 4.4208 -0.6195
Pb Bi Li
1 1 1
Cartesian
1.5631 -1.7571 2.0930 Pb
4.3639 -0.2647 2.9186 Bi
2.3402 1.2470 0.6898 Li

[4]
RbNa3I3 | Alexandria via LeMat-Bulk | GGA-PBE | optimized geometry; Fermi-level density of states = 5.213 states/eV per cell; space-group type = Pm-3n; DFT total energy = -2.340 eV per atom; energy relative to the elements, uncorrected = -0.97 eV per atom
1.0
-5.7341 6.5234 -1.9761
-3.3249 -0.4227 8.2527
5.9502 6.0503 2.7071
I Na Rb
6 6 2
Cartesian
1.5416 4.6560 0.8595 I
-0.1749 1.3012 4.8031 I
-5.3607 2.9447 5.2015 I
-1.3255 7.9177 -0.1285 I
2.8002 4.3264 6.1567 I
-3.6983 3.1560 1.0751 I
2.1439 2.9195 3.4167 Na
0.4815 2.7082 7.5431 Na
1.5956 7.7995 1.0423 Na
-5.9630 4.6812 2.6443 Na
-1.3795 4.7743 -0.3113 Na
-3.0960 1.4195 3.6323 Na
-1.5544 6.0755 4.4919 Rb
0.0000 0.0000 0.0000 Rb

Question: Among the records above, which one has the highest Fermi-level density of states?
Answer: Ho3NpAs4

Question: Among the records above, which one has the highest Fermi-level density of states?
Answer: Ho3NpAs4